Compound: SrTlS2N
Source: Alexandria via LeMat-Bulk
Functional: PBE
Structure: optimized geometry

Results
Its energy relative to the lowest polymorph listed for this composition is 0.000 eV per atom. The space-group type is P4/mmm, No. 123. The calculation puts the volume at 24.55 Å³ per atom. As for the final energy: -4.02 eV/atom. The spin magnetization is 0.409 μB/atom.

a = 5.301 Å, b = 5.301 Å, c = 4.367 Å
α = 90.00°, β = 90.00°, γ = 90.00°
Each line ends with the local moment (μB).
Fractional coordinates of all 5 atoms:
Sr: 0.500 0.500 0.500  0.00
N: 0.000 0.000 0.500  1.07
S: 0.000 0.500 0.000  0.16
S: 0.500 0.000 0.000  0.16
Tl: 0.000 0.000 0.000  0.01

Compound: IrAuF
Source: Alexandria via LeMat-Bulk
Functional: PBE
Structure: optimized geometry

Results
Its energy relative to the lowest polymorph listed for this composition is 0.067 eV per atom. The space-group type is Fmm2, No. 42. The calculation puts the volume at 16.41 Å³ per atom. As for the final energy: -4.86 eV/atom. The spin magnetization is 0.184 μB/atom.

a = 2.691 Å, b = 14.438 Å, c = 10.136 Å
α = 90.00°, β = 90.00°, γ = 90.00°
Each line ends with the local moment (μB).
Fractional coordinates of all 24 atoms:
Ir: 0.500 0.500 0.237  0.55
Ir: 0.000 0.500 0.475  0.32
Ir: 0.000 0.000 0.237  0.55
Ir: 0.000 0.500 0.737  0.55
Ir: 0.500 0.500 0.975  0.32
Ir: 0.500 0.000 0.475  0.32
Ir: 0.000 0.000 0.975  0.32
Ir: 0.500 0.000 0.737  0.55
F: 0.000 0.366 0.736  0.06
F: 0.500 0.366 0.236  0.06
F: 0.500 0.866 0.736  0.06
F: 0.500 0.134 0.736  0.06
F: 0.000 0.134 0.236  0.06
F: 0.000 0.866 0.236  0.06
F: 0.000 0.634 0.736  0.06
F: 0.500 0.634 0.236  0.06
Au: 0.500 0.667 0.494  0.04
Au: 0.000 0.667 0.994  0.04
Au: 0.000 0.167 0.494  0.04
Au: 0.000 0.833 0.494  0.04
Au: 0.000 0.333 0.994  0.04
Au: 0.500 0.167 0.994  0.04
Au: 0.500 0.833 0.994  0.04
Au: 0.500 0.333 0.494  0.04

Compound: IrPbBr
Source: Alexandria via LeMat-Bulk
Functional: PBE
Structure: optimized geometry

Results
Its energy relative to the lowest polymorph listed for this composition is 0.194 eV per atom. The space-group type is Fmm2, No. 42. The calculation puts the volume at 23.20 Å³ per atom. As for the final energy: -4.22 eV/atom. The spin magnetization is 0.000 μB/atom.

a = 6.747 Å, b = 6.571 Å, c = 3.382 Å
α = 78.19°, β = 72.42°, γ = 29.39°
Fractional coordinates of all 3 atoms:
Ir: 0.669 0.669 0.331
Pb: 0.307 0.307 0.693
Br: 0.024 0.024 0.976

Compound: Ac2ZnP3Rh4
Source: Alexandria via LeMat-Bulk
Functional: PBE
Structure: optimized geometry

Results
The space-group type is P-4m2, No. 115. The calculation puts the volume at 18.19 Å³ per atom. As for the final energy: -6.45 eV/atom. The spin magnetization is 0.001 μB/atom. The value obtained for the formation energy from the elements is -21.64 kcal/mol of atoms.

a = 4.251 Å, b = 4.251 Å, c = 10.065 Å
α = 90.00°, β = 90.00°, γ = 90.00°
Fractional coordinates of all 10 atoms:
Zn: 0.500 0.500 0.500
Ac: 0.500 0.000 0.254
Ac: 0.000 0.500 0.746
P: 0.500 0.000 0.870
P: 0.000 0.000 0.500
P: 0.000 0.500 0.130
Rh: 0.000 0.000 0.000
Rh: 0.500 0.500 0.000
Rh: 0.000 0.500 0.369
Rh: 0.500 0.000 0.631

Compound: NbAuSe2N
Source: Alexandria via LeMat-Bulk
Functional: PBE
Structure: optimized geometry

Results
Its energy relative to the lowest polymorph listed for this composition is 0.877 eV per atom. The space-group type is P4/mmm, No. 123. The calculation puts the volume at 20.66 Å³ per atom. As for the final energy: -4.59 eV/atom. The spin magnetization is 0.508 μB/atom.

a = 5.252 Å, b = 5.252 Å, c = 3.744 Å
α = 90.00°, β = 90.00°, γ = 90.00°
Each line ends with the local moment (μB).
Fractional coordinates of all 5 atoms:
Se: 0.000 0.500 0.000  -0.12
Se: 0.500 0.000 0.000  -0.12
Au: 0.000 0.000 0.000  0.02
N: 0.000 0.000 0.500  0.03
Nb: 0.500 0.500 0.500  2.24

Compound: Nd3Ho2Rh2
Source: Alexandria via LeMat-Bulk
Functional: PBE
Structure: optimized geometry

Results
The space-group type is C2/m, No. 12. The calculation puts the volume at 27.71 Å³ per atom. As for the final energy: -5.95 eV/atom. The spin magnetization is 0.000 μB/atom. The value obtained for the formation energy from the elements is -11.43 kcal/mol of atoms.

a = 3.897 Å, b = 6.425 Å, c = 8.667 Å
α = 100.53°, β = 103.01°, γ = 107.66°
Fractional coordinates of all 7 atoms:
Nd: 0.185 0.799 0.573
Nd: 0.815 0.201 0.427
Nd: 0.500 0.000 0.000
Ho: 0.358 0.529 0.187
Ho: 0.642 0.471 0.813
Rh: 0.945 0.132 0.760
Rh: 0.055 0.868 0.240

Compound: YTmGaSn
Source: Alexandria via LeMat-Bulk
Functional: PBE
Structure: optimized geometry

Results
Its energy relative to the lowest polymorph listed for this composition is 0.164 eV per atom. The space-group type is F-43m, No. 216. The calculation puts the volume at 24.75 Å³ per atom. As for the final energy: -5.03 eV/atom. The spin magnetization is 0.000 μB/atom. The value obtained for the formation energy from the elements is -12.33 kcal/mol of atoms.

a = 5.193 Å, b = 5.193 Å, c = 5.193 Å
α = 60.00°, β = 60.00°, γ = 60.00°
Fractional coordinates of all 4 atoms:
Tm: 0.250 0.250 0.250
Y: 0.750 0.750 0.750
Sn: 0.500 0.500 0.500
Ga: 0.000 0.000 0.000

Compound: SrCu2Cl6
Source: Alexandria via LeMat-Bulk
Functional: PBE
Structure: optimized geometry

Results
The space-group type is C2/c, No. 15. The calculation puts the volume at 27.70 Å³ per atom. As for the final energy: -3.43 eV/atom. The spin magnetization is 0.226 μB/atom.

a = 7.231 Å, b = 8.813 Å, c = 8.813 Å
α = 73.06°, β = 72.58°, γ = 72.58°
Each line ends with the local moment (μB).
Fractional coordinates of all 18 atoms:
Cl: 0.851 0.168 0.069  0.08
Cl: 0.484 0.401 0.773  0.13
Cl: 0.500 0.792 0.575  0.17
Cl: 0.500 0.208 0.425  0.17
Cl: 0.351 0.069 0.168  0.08
Cl: 0.000 0.575 0.792  0.17
Cl: 0.149 0.832 0.931  0.08
Cl: 0.649 0.931 0.832  0.08
Cl: 0.016 0.227 0.599  0.13
Cl: 0.516 0.599 0.227  0.13
Cl: 0.000 0.425 0.208  0.17
Cl: 0.984 0.773 0.401  0.13
Cu: 0.214 0.226 0.353  0.52
Cu: 0.714 0.353 0.226  0.52
Cu: 0.786 0.774 0.647  0.52
Cu: 0.286 0.647 0.774  0.52
Sr: 0.250 0.165 0.835  0.00
Sr: 0.750 0.835 0.165  0.00

Compound: AcLa2Cu
Source: Alexandria via LeMat-Bulk
Functional: PBE
Structure: optimized geometry

Results
Its energy relative to the lowest polymorph listed for this composition is 0.103 eV per atom. The space-group type is R3m, No. 160. The calculation puts the volume at 34.63 Å³ per atom. As for the final energy: -4.47 eV/atom. The spin magnetization is 0.000 μB/atom. The value obtained for the formation energy from the elements is 0.95 kcal/mol of atoms.

a = 3.984 Å, b = 3.984 Å, c = 10.333 Å
α = 78.88°, β = 78.88°, γ = 60.00°
Fractional coordinates of all 4 atoms:
La: 0.063 0.063 0.810
La: 0.270 0.270 0.189
Cu: 0.666 0.666 0.001
Ac: 0.500 0.500 0.500

Compound: CaAc2
Source: Alexandria via LeMat-Bulk
Functional: PBE
Structure: optimized geometry

Results
Its energy relative to the lowest polymorph listed for this composition is 0.193 eV per atom. The space-group type is Fd-3m, No. 227. The calculation puts the volume at 47.77 Å³ per atom. As for the final energy: -3.20 eV/atom. The spin magnetization is 0.000 μB/atom. The value obtained for the formation energy from the elements is 4.65 kcal/mol of atoms.

a = 7.401 Å, b = 7.401 Å, c = 7.401 Å
α = 60.00°, β = 60.00°, γ = 60.00°
Fractional coordinates of all 6 atoms:
Ca: 0.000 0.000 0.000
Ca: 0.250 0.250 0.250
Ac: 0.625 0.125 0.625
Ac: 0.625 0.625 0.125
Ac: 0.625 0.625 0.625
Ac: 0.125 0.625 0.625

Compound: Cs2HfRhI6
Source: Alexandria via LeMat-Bulk
Functional: PBE
Structure: optimized geometry

Results
The space-group type is I4/mmm, No. 139. The calculation puts the volume at 39.31 Å³ per atom. As for the final energy: -3.64 eV/atom. The spin magnetization is 0.100 μB/atom.

a = 8.232 Å, b = 8.232 Å, c = 8.218 Å
α = 59.94°, β = 59.94°, γ = 90.00°
Each line ends with the local moment (μB).
Fractional coordinates of all 10 atoms:
Hf: 0.000 0.000 0.000  0.04
I: 0.250 0.250 0.501  0.02
I: 0.750 0.750 0.499  0.02
I: 0.249 0.751 0.000  0.02
I: 0.249 0.249 0.000  0.02
I: 0.751 0.751 0.000  0.02
I: 0.751 0.249 0.000  0.02
Cs: 0.250 0.750 0.500  0.00
Cs: 0.750 0.250 0.500  0.00
Rh: 0.500 0.500 0.000  0.79

Compound: BaHgSeBr2
Source: Alexandria via LeMat-Bulk
Functional: PBE
Structure: optimized geometry

Results
Its energy relative to the lowest polymorph listed for this composition is 0.294 eV per atom. The space-group type is P4/mmm, No. 123. The calculation puts the volume at 54.37 Å³ per atom. As for the final energy: -2.51 eV/atom. The spin magnetization is 0.404 μB/atom.

a = 6.285 Å, b = 6.285 Å, c = 6.883 Å
α = 90.00°, β = 90.00°, γ = 90.00°
Each line ends with the local moment (μB).
Fractional coordinates of all 5 atoms:
Ba: 0.000 0.000 0.000  -0.01
Hg: 0.500 0.500 0.500  0.08
Se: 0.000 0.000 0.500  0.96
Br: 0.500 0.000 0.000  0.08
Br: 0.000 0.500 0.000  0.08

Q: Which value of final energy does entry 5 give?
A: -4.59 eV/atom